(1)
## Li2CdRh (GGA-PBE)

Data for a relaxed structure of Li2CdRh.

CIF file:
```
data_Li2CdRh
_cell_length_a 4.459
_cell_length_b 4.459
_cell_length_c 4.459
_cell_angle_alpha 119.67
_cell_angle_beta 119.67
_cell_angle_gamma 90.57
_symmetry_space_group_name_H-M 'P 1'
_symmetry_Int_Tables_number 1
_symmetry_space_group_name_Hall 'P 1'
loop_
_atom_site_label
_atom_site_fract_x
_atom_site_fract_y
_atom_site_fract_z
Li1 0.000 0.000 0.000
Li2 0.750 0.250 0.500
Cd1 0.500 0.500 0.000
Rh1 0.250 0.750 0.500
```

- ΔH_f (0 K): -0.86 eV per formula unit

=====

(2)
## LiCd5Rh2 (GGA-PBE)

Data for a relaxed structure of LiCd5Rh2.

CIF file:
```
data_LiCd5Rh2
_cell_length_a 5.759
_cell_length_b 11.420
_cell_length_c 4.324
_cell_angle_alpha 90.00
_cell_angle_beta 90.00
_cell_angle_gamma 90.00
_symmetry_space_group_name_H-M 'P 1'
_symmetry_Int_Tables_number 1
_symmetry_space_group_name_Hall 'P 1'
loop_
_atom_site_label
_atom_site_fract_x
_atom_site_fract_y
_atom_site_fract_z
Li1 0.000 0.000 0.000
Li2 0.500 0.500 0.000
Cd1 0.000 0.500 0.000
Cd2 0.058 0.241 0.000
Cd3 0.200 0.889 0.500
Cd4 0.300 0.389 0.500
Cd5 0.442 0.741 0.000
Cd6 0.500 0.000 0.000
Cd7 0.558 0.259 0.000
Cd8 0.700 0.611 0.500
Cd9 0.800 0.111 0.500
Cd10 0.942 0.759 0.000
Rh1 0.199 0.634 0.500
Rh2 0.301 0.134 0.500
Rh3 0.699 0.866 0.500
Rh4 0.801 0.366 0.500
```

- ΔH_f (0 K): -1.45 eV per formula unit

=====

(3)
## Li9Cd3Rh2 (GGA-PBE)

Data for a relaxed structure of Li9Cd3Rh2.

CIF file:
```
data_Li9Cd3Rh2
_cell_length_a 7.617
_cell_length_b 7.617
_cell_length_c 7.617
_cell_angle_alpha 146.25
_cell_angle_beta 100.95
_cell_angle_gamma 88.77
_symmetry_space_group_name_H-M 'P 1'
_symmetry_Int_Tables_number 1
_symmetry_space_group_name_Hall 'P 1'
loop_
_atom_site_label
_atom_site_fract_x
_atom_site_fract_y
_atom_site_fract_z
Li1 0.000 0.000 0.000
Li2 0.095 0.873 0.222
Li3 0.233 0.370 0.863
Li4 0.349 0.127 0.222
Li5 0.493 0.630 0.863
Li6 0.507 0.370 0.137
Li7 0.651 0.873 0.778
Li8 0.767 0.630 0.137
Li9 0.905 0.127 0.778
Cd1 0.222 0.722 0.500
Cd2 0.500 0.000 0.500
Cd3 0.778 0.278 0.500
Rh1 0.140 0.500 0.640
Rh2 0.860 0.500 0.360
```

- ΔH_f (0 K): -1.78 eV per formula unit